1.
Computed, not measured: a relaxed Sc5Ni2Te2 crystal at the PBE level of DFT.

abc: 17.895 3.952 10.642
angles: 90.00 90.00 90.00
Element x y z (fractional)
Sc 0.019 0.250 0.173
Sc 0.074 0.750 0.560
Sc 0.133 0.250 0.804
Sc 0.152 0.750 0.282
Sc 0.227 0.250 0.479
Sc 0.273 0.750 0.979
Sc 0.348 0.250 0.782
Sc 0.367 0.750 0.304
Sc 0.426 0.250 0.060
Sc 0.481 0.750 0.673
Sc 0.519 0.250 0.327
Sc 0.574 0.750 0.940
Sc 0.633 0.250 0.696
Sc 0.652 0.750 0.218
Sc 0.727 0.250 0.021
Sc 0.773 0.750 0.521
Sc 0.848 0.250 0.718
Sc 0.867 0.750 0.196
Sc 0.926 0.250 0.440
Sc 0.981 0.750 0.827
Ni 0.006 0.250 0.674
Ni 0.084 0.250 0.396
Ni 0.416 0.750 0.896
Ni 0.494 0.750 0.174
Ni 0.506 0.250 0.826
Ni 0.584 0.250 0.104
Ni 0.916 0.750 0.604
Ni 0.994 0.750 0.326
Te 0.107 0.750 0.010
Te 0.233 0.750 0.690
Te 0.267 0.250 0.190
Te 0.393 0.250 0.510
Te 0.607 0.750 0.490
Te 0.733 0.750 0.810
Te 0.767 0.250 0.310
Te 0.893 0.250 0.990

Size of the total moment ... 0.35 Bohr magnetons per cell
Calculated volume ... 20.909 Å³/atom
DFT total energy ... -6.23 eV/atom

2.
Computed, not measured: a relaxed Zr3Sc3NiTe2 crystal at the PBE level of DFT.

abc: 7.788 7.788 3.632
angles: 90.00 90.00 120.00
Element x y z (fractional)
Zr 0.000 0.595 0.000
Zr 0.405 0.405 0.000
Zr 0.595 0.000 0.000
Sc 0.000 0.239 0.500
Sc 0.239 0.000 0.500
Sc 0.761 0.761 0.500
Ni 0.000 0.000 0.000
Te 0.333 0.667 0.500
Te 0.667 0.333 0.500

Size of the total moment ... 0.03 Bohr magnetons per cell
Calculated volume ... 21.194 Å³/atom
DFT total energy ... -6.89 eV/atom
Energy above the most stable polymorph in this dataset ... 30 meV/atom

3.
Computed, not measured: a relaxed Zr3Sc3NiTe2 crystal at the PBE level of DFT.

abc: 7.798 7.798 3.699
angles: 90.00 90.00 120.00
Element x y z (fractional)
Zr 0.000 0.239 0.000
Zr 0.239 0.000 0.000
Zr 0.761 0.761 0.000
Sc 0.000 0.603 0.500
Sc 0.397 0.397 0.500
Sc 0.603 0.000 0.500
Ni 0.000 0.000 0.500
Te 0.333 0.667 0.000
Te 0.667 0.333 0.000

Size of the total moment ... 0.02 Bohr magnetons per cell
Calculated volume ... 21.639 Å³/atom
DFT total energy ... -6.92 eV/atom
Energy above the most stable polymorph in this dataset ... 0 meV/atom

4.
Computed, not measured: a relaxed ThScNi crystal at the PBE level of DFT.

abc: 6.586 6.586 6.586
angles: 90.00 90.00 90.00
Element x y z (fractional)
Th 0.000 0.000 0.000
Th 0.000 0.500 0.500
Th 0.500 0.000 0.500
Th 0.500 0.500 0.000
Sc 0.000 0.000 0.500
Sc 0.000 0.500 0.000
Sc 0.500 0.000 0.000
Sc 0.500 0.500 0.500
Ni 0.250 0.250 0.250
Ni 0.250 0.750 0.750
Ni 0.750 0.250 0.750
Ni 0.750 0.750 0.250

Size of the total moment ... 0.02 Bohr magnetons per cell
E_form ... -0.092 eV per atom
Calculated volume ... 23.808 Å³/atom
DFT total energy ... -6.53 eV/atom
Energy above the most stable polymorph in this dataset ... 0 meV/atom

5.
Computed, not measured: a relaxed Th2ScNi2 crystal at the PBE level of DFT.

abc: 7.553 7.553 3.729
angles: 90.00 90.00 90.00
Element x y z (fractional)
Th 0.175 0.325 0.000
Th 0.325 0.825 0.000
Th 0.675 0.175 0.000
Th 0.825 0.675 0.000
Sc 0.000 0.000 0.500
Sc 0.500 0.500 0.500
Ni 0.125 0.625 0.500
Ni 0.375 0.125 0.500
Ni 0.625 0.875 0.500
Ni 0.875 0.375 0.500

Size of the total moment ... 0.00 Bohr magnetons per cell
E_form ... -0.401 eV per atom
Calculated volume ... 21.273 Å³/atom
DFT total energy ... -6.86 eV/atom

6.
Computed, not measured: a relaxed YScTlNi2 crystal at the PBE level of DFT.

abc: 3.565 3.826 14.210
angles: 90.00 90.00 90.00
Element x y z (fractional)
Y 0.000 0.000 0.000
Y 0.000 0.500 0.500
Sc 0.000 0.000 0.720
Sc 0.000 0.500 0.220
Tl 0.500 0.000 0.357
Tl 0.500 0.500 0.857
Ni 0.500 0.000 0.167
Ni 0.500 0.000 0.566
Ni 0.500 0.500 0.066
Ni 0.500 0.500 0.667

Size of the total moment ... 0.00 Bohr magnetons per cell
Calculated volume ... 19.383 Å³/atom
DFT total energy ... -5.71 eV/atom

Question: What is the formula in the fifth record?
Answer: Th2ScNi2

Question: Number 6 is which compound?
Answer: YScTlNi2